Entry 1:
! SCAN MnTePb2O6, PBEsol geometry; values from VASP
&SYSTEM
  ibrav = 0, nat = 10, ntyp = 4
/
ATOMIC_SPECIES
Pb 207.20 Pb.upf
Te 127.60 Te.upf
O 16.00 O.upf
Mn 54.94 Mn.upf
CELL_PARAMETERS angstrom
-0.343 -5.621 -0.828
3.637 -3.493 2.641
-1.841 -3.387 4.189
ATOMIC_POSITIONS crystal
Pb 0.250 0.250 0.250
Pb 0.750 0.750 0.750
Te 0.500 0.500 0.500
O 0.743 0.257 0.743
O 0.257 0.257 0.743
O 0.743 0.743 0.257
O 0.743 0.257 0.257
O 0.257 0.743 0.743
O 0.257 0.743 0.257
Mn 0.000 0.000 0.000
! Calculated volume: 13.0 Å³ per atom
! Formation energy from raw total energies: -13.7 eV per formula unit
! Crystal system: cubic
! Raw total energy: -25.82 eV per atom
! Magnetic moment: 5.0 μB/f.u.

=====

Entry 2:
! SCAN MnV2Pb2O8, PBEsol geometry; values from VASP
&SYSTEM
  ibrav = 0, nat = 26, ntyp = 4
/
ATOMIC_SPECIES
Mn 54.94 Mn.upf
V 50.94 V.upf
Pb 207.20 Pb.upf
O 16.00 O.upf
CELL_PARAMETERS angstrom
5.867 0.000 0.000
0.000 7.581 0.118
0.000 -3.409 8.301
ATOMIC_POSITIONS crystal
Mn 0.500 0.500 0.500
Mn 0.000 0.500 0.500
V 0.250 0.929 0.662
V 0.750 0.071 0.338
V 0.250 0.545 0.832
V 0.750 0.455 0.168
Pb 0.250 0.798 0.255
Pb 0.750 0.202 0.745
Pb 0.250 0.184 0.078
Pb 0.750 0.816 0.922
O 0.250 0.765 0.976
O 0.750 0.235 0.024
O 0.250 0.379 0.915
O 0.750 0.621 0.085
O 0.250 0.051 0.541
O 0.750 0.949 0.459
O 0.250 0.682 0.539
O 0.750 0.318 0.461
O 0.501 0.530 0.720
O 0.499 0.470 0.280
O 0.001 0.470 0.280
O 0.999 0.530 0.720
O 0.487 0.984 0.784
O 0.513 0.016 0.216
O 0.987 0.016 0.216
O 0.013 0.984 0.784
! Calculated volume: 14.3 Å³ per atom
! Formation energy from raw total energies: -27.3 eV per formula unit
! Crystal system: monoclinic
! Raw total energy: -21.69 eV per atom
! Magnetic moment: 4.1 μB/f.u.

=====

Entry 3:
! SCAN MnVPbO5, PBEsol geometry; values from VASP
&SYSTEM
  ibrav = 0, nat = 32, ntyp = 4
/
ATOMIC_SPECIES
Mn 54.94 Mn.upf
V 50.94 V.upf
Pb 207.20 Pb.upf
O 16.00 O.upf
CELL_PARAMETERS angstrom
5.875 0.000 0.000
0.000 7.572 0.000
0.000 0.000 9.249
ATOMIC_POSITIONS crystal
Mn 0.000 0.500 0.000
Mn 0.500 0.000 0.500
Mn 0.500 0.500 0.000
Mn 0.000 0.000 0.500
V 0.250 0.838 0.213
V 0.250 0.338 0.287
V 0.750 0.162 0.787
V 0.750 0.662 0.713
Pb 0.750 0.588 0.334
Pb 0.750 0.088 0.166
Pb 0.250 0.412 0.666
Pb 0.250 0.912 0.834
O 0.250 0.663 0.090
O 0.250 0.163 0.410
O 0.750 0.337 0.910
O 0.750 0.837 0.590
O 0.250 0.019 0.110
O 0.250 0.519 0.390
O 0.750 0.981 0.890
O 0.750 0.481 0.610
O 0.499 0.850 0.317
O 0.001 0.350 0.183
O 0.999 0.150 0.683
O 0.501 0.650 0.817
O 0.501 0.150 0.683
O 0.999 0.650 0.817
O 0.001 0.850 0.317
O 0.499 0.350 0.183
O 0.750 0.621 0.076
O 0.750 0.121 0.424
O 0.250 0.379 0.924
O 0.250 0.879 0.576
! Calculated volume: 12.9 Å³ per atom
! Formation energy from raw total energies: -17.3 eV per formula unit
! Crystal system: orthorhombic
! Raw total energy: -20.00 eV per atom
! Magnetic moment: 4.0 μB/f.u.

=====

Entry 4:
! SCAN TiMn2PdO, PBEsol geometry; values from VASP
&SYSTEM
  ibrav = 0, nat = 5, ntyp = 4
/
ATOMIC_SPECIES
Mn 54.94 Mn.upf
O 16.00 O.upf
Pd 106.42 Pd.upf
Ti 47.87 Ti.upf
CELL_PARAMETERS angstrom
4.641 0.000 0.000
0.000 4.716 0.000
0.000 0.000 4.716
ATOMIC_POSITIONS crystal
Mn 0.000 0.000 0.500
Mn 0.000 0.500 0.000
O 0.500 0.500 0.500
Pd 0.000 0.000 0.000
Ti 0.500 0.000 0.000
! Calculated volume: 20.6 Å³ per atom
! Formation energy from raw total energies: 3.0 eV per formula unit
! Crystal system: tetragonal
! Raw total energy: -17.71 eV per atom
! Magnetic moment: 8.2 μB/f.u.

=====

- Which of these has the lowest raw total energy?
  MnTePb2O6

=====

- What is the raw total energy in the third record?
  -20.00 eV per atom